[1]
Compound: Rb3AsBr2F6
Source: Alexandria
Functional: PBE
Structure: relaxed

The structure in CIF format:
```
data_Rb3AsBr2F6
_chemical_formula_sum 'Rb3 As1 Br2 F6'
_space_group_name_H-M_alt 'P 1'
_space_group_IT_number 1
_cell_length_a 9.133
_cell_length_b 9.133
_cell_length_c 5.241
_cell_angle_alpha 91.92
_cell_angle_beta 91.92
_cell_angle_gamma 51.85
loop_
_space_group_symop_operation_xyz
'x,y,z'
loop_
_atom_site_label
_atom_site_type_symbol
_atom_site_fract_x
_atom_site_fract_y
_atom_site_fract_z
_atom_site_occupancy
Rb1 Rb 0.000 0.000 0.000 1
Rb2 Rb 0.000 0.500 0.500 1
Rb3 Rb 0.500 0.000 0.500 1
As1 As 0.500 0.500 0.500 1
Br1 Br 0.198 0.198 0.996 1
Br2 Br 0.802 0.802 0.004 1
F1 F 0.321 0.638 0.270 1
F2 F 0.362 0.679 0.730 1
F3 F 0.395 0.395 0.577 1
F4 F 0.605 0.605 0.423 1
F5 F 0.638 0.321 0.270 1
F6 F 0.679 0.362 0.730 1
```

Fermi-level density of states = 0.00 states/eV/f.u.

[2]
Compound: NdCu5Au7
Source: Alexandria
Functional: PBE
Structure: relaxed

The structure in CIF format:
```
data_NdCu5Au7
_chemical_formula_sum 'Nd1 Cu5 Au7'
_space_group_name_H-M_alt 'P 1'
_space_group_IT_number 1
_cell_length_a 6.982
_cell_length_b 6.982
_cell_length_c 6.982
_cell_angle_alpha 135.72
_cell_angle_beta 98.36
_cell_angle_gamma 97.98
loop_
_space_group_symop_operation_xyz
'x,y,z'
loop_
_atom_site_label
_atom_site_type_symbol
_atom_site_fract_x
_atom_site_fract_y
_atom_site_fract_z
_atom_site_occupancy
Nd1 Nd 0.000 0.000 0.000 1
Cu1 Cu 0.500 0.494 0.504 1
Cu2 Cu 0.500 0.996 0.006 1
Cu3 Cu 0.764 0.264 0.500 1
Cu4 Cu 0.990 0.494 0.994 1
Cu5 Cu 0.990 0.996 0.496 1
Au1 Au 0.195 0.490 0.705 1
Au2 Au 0.222 0.722 0.500 1
Au3 Au 0.342 0.000 0.342 1
Au4 Au 0.342 0.342 0.000 1
Au5 Au 0.658 0.000 0.658 1
Au6 Au 0.664 0.664 0.000 1
Au7 Au 0.786 0.490 0.295 1
```

formation energy = -3.134 eV/f.u.
Fermi-level density of states = 4.89 states/eV/f.u.

[3]
Compound: TaReRu
Source: Alexandria
Functional: PBE
Structure: relaxed

The structure in CIF format:
```
data_TaReRu
_chemical_formula_sum 'Ta1 Re1 Ru1'
_space_group_name_H-M_alt 'P 1'
_space_group_IT_number 1
_cell_length_a 5.227
_cell_length_b 5.227
_cell_length_c 5.227
_cell_angle_alpha 144.67
_cell_angle_beta 144.67
_cell_angle_gamma 50.83
loop_
_space_group_symop_operation_xyz
'x,y,z'
loop_
_atom_site_label
_atom_site_type_symbol
_atom_site_fract_x
_atom_site_fract_y
_atom_site_fract_z
_atom_site_occupancy
Ta1 Ta 0.000 0.000 0.000 1
Re1 Re 0.659 0.659 0.000 1
Ru1 Ru 0.338 0.338 0.000 1
```

energy relative to the lowest polymorph listed for this composition = 0.088 eV/atom
formation energy = 0.003 eV/f.u.
Fermi-level density of states = 2.94 states/eV/f.u.

Number 1: magnetic moment 0.000 μB per atom, theoretical density 2.92 g cm⁻³, DFT total energy -4.003 eV/atom. Number 2: magnetic moment 0.000 μB per atom, theoretical density 13.89 g cm⁻³, DFT total energy -3.948 eV/atom. Number 3: magnetic moment 0.000 μB per atom, theoretical density 16.36 g cm⁻³, DFT total energy -11.191 eV/atom.